(1)
A plane-wave DFT calculation with PBE-GGA was carried out for a relaxed structure of ZrMn2Zn.

a = 3.032 Å, b = 3.421 Å, c = 5.917 Å
α = 90.00°, β = 90.00°, γ = 90.00°
Element x y z (fractional)
Zr1 0.000 0.000 0.000
Mn1 0.500 0.500 0.272
Mn2 0.500 0.500 0.728
Zn1 0.000 0.000 0.500

Computed properties:
As for the spin magnetization: 4.38 Bohr magnetons per cell. Its space group is Pmmm, No. 47.

(2)
A plane-wave DFT calculation with PBE-GGA was carried out for a relaxed structure of ZrMnZn17.

a = 6.712 Å, b = 6.712 Å, c = 6.712 Å
α = 81.69°, β = 81.69°, γ = 81.69°
Element x y z (fractional)
Zr1 0.000 0.000 0.000
Mn1 0.271 0.271 0.271
Zn1 0.008 0.008 0.497
Zn2 0.008 0.497 0.008
Zn3 0.166 0.674 0.674
Zn4 0.315 0.315 0.832
Zn5 0.315 0.832 0.315
Zn6 0.352 0.653 0.989
Zn7 0.352 0.989 0.653
Zn8 0.497 0.008 0.008
Zn9 0.565 0.565 0.565
Zn10 0.653 0.352 0.989
Zn11 0.653 0.989 0.352
Zn12 0.674 0.166 0.674
Zn13 0.674 0.674 0.166
Zn14 0.765 0.765 0.765
Zn15 0.832 0.315 0.315
Zn16 0.989 0.352 0.653
Zn17 0.989 0.653 0.352

Computed properties:
As for the spin magnetization: 3.99 Bohr magnetons per cell. Its space group is R3m, No. 160.

Computed E_form, in the same sequence as the records: 54, -23 meV per atom.